[1]
CaRe2Pb (SCAN, PBEsol geometry); E_form = 4.81 kcal/mol of atoms; N(E_F) = 0.408 states/eV/atom
1.0
-1.856 0.871 -2.342
-1.590 -2.662 0.269
-5.186 3.652 5.481
Pb Re Ca
1 2 1
direct
0.499 0.500 0.790
0.500 0.500 0.203
0.999 0.000 0.044
0.001 0.000 0.463



[2]
CuIrBr2 (SCAN, PBEsol geometry); N(E_F) = 0.573 states/eV/atom; E_form (uncorrected) = 303 kJ/mol of formula units
1.0
3.161 0.000 0.000
-1.580 2.966 0.000
0.000 0.000 7.839
Br Ir Cu
2 1 1
direct
0.000 0.000 0.256
0.000 0.000 0.744
0.500 0.000 0.000
0.500 0.000 0.500



[3]
MgMn4Sb (SCAN, PBEsol geometry); N(E_F) = 1.360 states/eV/atom; E_form (uncorrected) = 149 kJ/mol of formula units
1.0
-4.535 0.797 -1.380
-1.351 -0.993 -4.504
-2.935 -3.706 -0.867
Sb Mn Mg
1 4 1
direct
0.750 0.750 0.750
0.875 0.375 0.375
0.375 0.375 0.875
0.375 0.375 0.375
0.375 0.875 0.375
0.000 0.000 0.000



[4]
NaMnO4 (SCAN, PBEsol geometry); N(E_F) = 0.000 states/eV/atom; E_form (uncorrected) = -879 kJ/mol of formula units
1.0
-0.965 3.054 -4.710
-6.709 0.745 2.129
2.086 7.014 4.120
O Na Mn
16 4 4
direct
0.120 0.910 0.152
0.620 0.410 0.348
0.254 0.010 0.438
0.246 0.490 0.938
0.746 0.990 0.562
0.990 0.717 0.774
0.898 0.338 0.615
0.010 0.283 0.226
0.490 0.217 0.726
0.510 0.783 0.274
0.380 0.590 0.652
0.602 0.162 0.115
0.102 0.662 0.385
0.398 0.838 0.885
0.880 0.090 0.848
0.754 0.510 0.062
0.248 0.343 0.465
0.748 0.843 0.035
0.252 0.157 0.965
0.752 0.657 0.535
0.753 0.158 0.688
0.747 0.342 0.188
0.247 0.842 0.312
0.253 0.658 0.812



[5]
Hf3Ga3Pd2Pt (SCAN, PBEsol geometry); E_form = -22.34 kcal/mol of atoms; N(E_F) = 0.328 states/eV/atom
1.0
6.872 0.000 0.000
0.000 7.105 0.000
0.000 -3.553 6.154
Pt Ga Hf Pd
2 6 6 4
direct
0.285 0.000 0.000
0.715 0.000 0.000
0.250 0.400 0.063
0.250 0.937 0.337
0.250 0.663 0.600
0.750 0.937 0.337
0.750 0.663 0.600
0.750 0.400 0.063
0.000 0.253 0.306
0.500 0.643 0.923
0.000 0.694 0.947
0.500 0.279 0.357
0.000 0.053 0.747
0.500 0.077 0.721
0.500 0.667 0.333
0.000 0.667 0.333
0.215 0.333 0.667
0.785 0.333 0.667



[6]
YCdS2N (SCAN, PBEsol geometry); N(E_F) = 0.356 states/eV/atom; E_form (uncorrected) = -28 kJ/mol of formula units
1.0
4.080 0.000 0.000
0.000 4.922 0.000
0.000 0.000 4.922
S Y Cd N
2 1 1 1
direct
0.000 0.000 0.500
0.000 0.500 0.000
0.500 0.500 0.500
0.000 0.000 0.000
0.500 0.000 0.000